[1]
# CaMoRu2 PBE-GGA relaxed
# - N(E_F): 10.845 states/eV/cell
# - ΔE_f: 0.62 eV/atom
# - Relative energy among the computed polymorphs: 468 meV/atom
data_CaMoRu2
_symmetry_space_group_name_H-M 'P 1'
_symmetry_Int_Tables_number 1
_cell_length_a 3.8518
_cell_length_b 3.8518
_cell_length_c 9.0709
_cell_angle_alpha 90.00
_cell_angle_beta 90.00
_cell_angle_gamma 90.00
loop_
_symmetry_equiv_pos_as_xyz
'x,y,z'
loop_
_atom_site_label
_atom_site_fract_x
_atom_site_fract_y
_atom_site_fract_z
Ca1 0.0000 0.0000 0.0000
Ca2 0.5000 0.5000 0.5000
Mo1 0.0000 0.5000 0.7500
Mo2 0.5000 0.0000 0.2500
Ru1 0.0000 0.0000 0.5000
Ru2 0.0000 0.5000 0.2500
Ru3 0.5000 0.0000 0.7500
Ru4 0.5000 0.5000 0.0000



[2]
# CsW3S PBE-GGA relaxed
# - ΔE_f (raw): 4.29 eV per atom
# - N(E_F): 9.009 states/eV/cell
# - Relative energy among the computed polymorphs: 2391 meV/atom
data_CsW3S
_symmetry_space_group_name_H-M 'P 1'
_symmetry_Int_Tables_number 1
_cell_length_a 4.9563
_cell_length_b 4.9563
_cell_length_c 4.9563
_cell_angle_alpha 90.00
_cell_angle_beta 90.00
_cell_angle_gamma 90.00
loop_
_symmetry_equiv_pos_as_xyz
'x,y,z'
loop_
_atom_site_label
_atom_site_fract_x
_atom_site_fract_y
_atom_site_fract_z
Cs1 0.0000 0.0000 0.0000
W1 0.0000 0.0000 0.5000
W2 0.0000 0.5000 0.0000
W3 0.5000 0.0000 0.0000
S1 0.5000 0.5000 0.5000



[3]
# Pm2PdCl PBE-GGA relaxed
# - ΔE_f (raw): -1.09 eV per atom
# - N(E_F): 12.658 states/eV/cell
# - Relative energy among the computed polymorphs: 0 meV/atom
data_Pm2PdCl
_symmetry_space_group_name_H-M 'P 1'
_symmetry_Int_Tables_number 1
_cell_length_a 4.1400
_cell_length_b 4.1400
_cell_length_c 22.0508
_cell_angle_alpha 90.00
_cell_angle_beta 90.00
_cell_angle_gamma 120.00
loop_
_symmetry_equiv_pos_as_xyz
'x,y,z'
loop_
_atom_site_label
_atom_site_fract_x
_atom_site_fract_y
_atom_site_fract_z
Pm1 0.0000 0.0000 0.2387
Pm2 0.0000 0.0000 0.7613
Pm3 0.3333 0.6667 0.4279
Pm4 0.3333 0.6667 0.9054
Pm5 0.6667 0.3333 0.0946
Pm6 0.6667 0.3333 0.5721
Pd1 0.0000 0.0000 0.5000
Pd2 0.3333 0.6667 0.1667
Pd3 0.6667 0.3333 0.8333
Cl1 0.0000 0.0000 0.0000
Cl2 0.3333 0.6667 0.6667
Cl3 0.6667 0.3333 0.3333



[4]
# RbMnCuCl6 PBE-GGA relaxed
# - ΔE_f (raw): -1.04 eV per atom
# - N(E_F): 0.755 states/eV/cell
data_RbMnCuCl6
_symmetry_space_group_name_H-M 'P 1'
_symmetry_Int_Tables_number 1
_cell_length_a 6.3420
_cell_length_b 6.3538
_cell_length_c 6.9244
_cell_angle_alpha 95.77
_cell_angle_beta 95.95
_cell_angle_gamma 107.87
loop_
_symmetry_equiv_pos_as_xyz
'x,y,z'
loop_
_atom_site_label
_atom_site_fract_x
_atom_site_fract_y
_atom_site_fract_z
Rb1 0.0000 0.0000 0.0000
Mn1 0.6142 0.3852 0.5004
Cu1 0.2710 0.7267 0.5015
Cl1 0.3254 0.0743 0.6507
Cl2 0.3450 0.4611 0.2848
Cl3 0.5378 0.6519 0.7173
Cl4 0.6225 0.1097 0.2760
Cl5 0.8926 0.3778 0.7239
Cl6 0.9238 0.6765 0.3509



[5]
# V3AgP PBE-GGA relaxed
# - N(E_F): 6.854 states/eV/cell
# - ΔE_f: 0.33 eV/atom
# - Relative energy among the computed polymorphs: 0 meV/atom
data_V3AgP
_symmetry_space_group_name_H-M 'P 1'
_symmetry_Int_Tables_number 1
_cell_length_a 4.3765
_cell_length_b 4.3765
_cell_length_c 4.3765
_cell_angle_alpha 90.00
_cell_angle_beta 90.00
_cell_angle_gamma 90.00
loop_
_symmetry_equiv_pos_as_xyz
'x,y,z'
loop_
_atom_site_label
_atom_site_fract_x
_atom_site_fract_y
_atom_site_fract_z
V1 0.0000 0.0000 0.5000
V2 0.0000 0.5000 0.0000
V3 0.5000 0.0000 0.0000
Ag1 0.5000 0.5000 0.5000
P1 0.0000 0.0000 0.0000



[6]
# PaTi4Ga PBE-GGA relaxed
# - N(E_F): 15.227 states/eV/cell
# - ΔE_f: 0.00 eV/atom
data_PaTi4Ga
_symmetry_space_group_name_H-M 'P 1'
_symmetry_Int_Tables_number 1
_cell_length_a 9.1040
_cell_length_b 9.1040
_cell_length_c 5.0381
_cell_angle_alpha 105.99
_cell_angle_beta 105.99
_cell_angle_gamma 132.94
loop_
_symmetry_equiv_pos_as_xyz
'x,y,z'
loop_
_atom_site_label
_atom_site_fract_x
_atom_site_fract_y
_atom_site_fract_z
Pa1 0.1493 0.1493 0.3999
Pa2 0.8507 0.8507 0.6001
Ti1 0.0211 0.3576 0.4396
Ti2 0.2693 0.4412 0.1054
Ti3 0.3576 0.0211 0.4396
Ti4 0.4412 0.2693 0.1054
Ti5 0.5588 0.7307 0.8946
Ti6 0.6424 0.9789 0.5604
Ti7 0.7307 0.5588 0.8946
Ti8 0.9789 0.6424 0.5604
Ga1 0.0000 0.5000 0.0000
Ga2 0.5000 0.0000 0.0000



[7]
# SrGeF PBE-GGA relaxed
# - ΔE_f (raw): -2.08 eV per atom
# - Relative energy among the computed polymorphs: 110 meV/atom
data_SrGeF
_symmetry_space_group_name_H-M 'P 1'
_symmetry_Int_Tables_number 1
_cell_length_a 9.5074
_cell_length_b 9.5074
_cell_length_c 9.5074
_cell_angle_alpha 24.63
_cell_angle_beta 24.63
_cell_angle_gamma 24.63
loop_
_symmetry_equiv_pos_as_xyz
'x,y,z'
loop_
_atom_site_label
_atom_site_fract_x
_atom_site_fract_y
_atom_site_fract_z
Sr1 0.0000 0.0000 0.0000
Sr2 0.1981 0.1981 0.1981
Ge1 0.4126 0.4126 0.4126
Ge2 0.7836 0.7836 0.7836
F1 0.2909 0.2909 0.2909
F2 0.5596 0.5596 0.5596



[8]
# PHSCl2 PBE-GGA relaxed
# - N(E_F): 2.114 states/eV/cell
# - Relative energy among the computed polymorphs: 162 meV/atom
data_PHSCl2
_symmetry_space_group_name_H-M 'P 1'
_symmetry_Int_Tables_number 1
_cell_length_a 3.7146
_cell_length_b 3.7146
_cell_length_c 8.1173
_cell_angle_alpha 90.00
_cell_angle_beta 90.00
_cell_angle_gamma 90.00
loop_
_symmetry_equiv_pos_as_xyz
'x,y,z'
loop_
_atom_site_label
_atom_site_fract_x
_atom_site_fract_y
_atom_site_fract_z
P1 0.0000 0.0000 0.0000
H1 0.5000 0.5000 0.5000
S1 0.5000 0.5000 0.0000
Cl1 0.0000 0.5000 0.5000
Cl2 0.5000 0.0000 0.5000



[9]
# PmPrSbTe PBE-GGA relaxed
# - ΔE_f (raw): -1.35 eV per atom
# - N(E_F): 5.132 states/eV/cell
# - Relative energy among the computed polymorphs: 0 meV/atom
data_PmPrSbTe
_symmetry_space_group_name_H-M 'P 1'
_symmetry_Int_Tables_number 1
_cell_length_a 4.5105
_cell_length_b 4.5105
_cell_length_c 22.2113
_cell_angle_alpha 90.00
_cell_angle_beta 90.00
_cell_angle_gamma 120.00
loop_
_symmetry_equiv_pos_as_xyz
'x,y,z'
loop_
_atom_site_label
_atom_site_fract_x
_atom_site_fract_y
_atom_site_fract_z
Pm1 0.0000 0.0000 0.0000
Pm2 0.3333 0.6667 0.6667
Pm3 0.6667 0.3333 0.3333
Pr1 0.0000 0.0000 0.4932
Pr2 0.3333 0.6667 0.1599
Pr3 0.6667 0.3333 0.8266
Sb1 0.0000 0.0000 0.7452
Sb2 0.3333 0.6667 0.4118
Sb3 0.6667 0.3333 0.0785
Te1 0.0000 0.0000 0.2481
Te2 0.3333 0.6667 0.9148
Te3 0.6667 0.3333 0.5814



[10]
# SrTlAgBi PBE-GGA relaxed
# - N(E_F): 10.765 states/eV/cell
# - ΔE_f: -0.25 eV/atom
data_SrTlAgBi
_symmetry_space_group_name_H-M 'P 1'
_symmetry_Int_Tables_number 1
_cell_length_a 7.7882
_cell_length_b 7.7882
_cell_length_c 7.7882
_cell_angle_alpha 90.00
_cell_angle_beta 90.00
_cell_angle_gamma 90.00
loop_
_symmetry_equiv_pos_as_xyz
'x,y,z'
loop_
_atom_site_label
_atom_site_fract_x
_atom_site_fract_y
_atom_site_fract_z
Sr1 0.0000 0.0000 0.0000
Sr2 0.0000 0.5000 0.5000
Sr3 0.5000 0.0000 0.5000
Sr4 0.5000 0.5000 0.0000
Tl1 0.2500 0.2500 0.2500
Tl2 0.2500 0.7500 0.7500
Tl3 0.7500 0.2500 0.7500
Tl4 0.7500 0.7500 0.2500
Ag1 0.0000 0.0000 0.5000
Ag2 0.0000 0.5000 0.0000
Ag3 0.5000 0.0000 0.0000
Ag4 0.5000 0.5000 0.5000
Bi1 0.2500 0.2500 0.7500
Bi2 0.2500 0.7500 0.2500
Bi3 0.7500 0.2500 0.2500
Bi4 0.7500 0.7500 0.7500



[11]
# Rb3Tm3SbS8 PBE-GGA relaxed
# - ΔE_f (raw): -1.52 eV per atom
# - N(E_F): 2.211 states/eV/cell
data_Rb3Tm3SbS8
_symmetry_space_group_name_H-M 'P 1'
_symmetry_Int_Tables_number 1
_cell_length_a 9.0685
_cell_length_b 9.0685
_cell_length_c 9.0685
_cell_angle_alpha 51.91
_cell_angle_beta 51.91
_cell_angle_gamma 51.91
loop_
_symmetry_equiv_pos_as_xyz
'x,y,z'
loop_
_atom_site_label
_atom_site_fract_x
_atom_site_fract_y
_atom_site_fract_z
Rb1 0.0000 0.5000 0.5000
Rb2 0.5000 0.0000 0.5000
Rb3 0.5000 0.5000 0.0000
Tm1 0.0000 0.0000 0.5000
Tm2 0.0000 0.5000 0.0000
Tm3 0.5000 0.0000 0.0000
Sb1 0.5000 0.5000 0.5000
S1 0.2293 0.2293 0.2293
S2 0.2346 0.7253 0.7253
S3 0.2747 0.2747 0.7654
S4 0.2747 0.7654 0.2747
S5 0.7253 0.2346 0.7253
S6 0.7253 0.7253 0.2346
S7 0.7654 0.2747 0.2747
S8 0.7707 0.7707 0.7707



[12]
# CaCuTc2 PBE-GGA relaxed
# - N(E_F): 2.923 states/eV/cell
# - ΔE_f: 0.49 eV/atom
# - Relative energy among the computed polymorphs: 285 meV/atom
data_CaCuTc2
_symmetry_space_group_name_H-M 'P 1'
_symmetry_Int_Tables_number 1
_cell_length_a 3.1923
_cell_length_b 4.3007
_cell_length_c 4.8139
_cell_angle_alpha 90.00
_cell_angle_beta 90.00
_cell_angle_gamma 90.00
loop_
_symmetry_equiv_pos_as_xyz
'x,y,z'
loop_
_atom_site_label
_atom_site_fract_x
_atom_site_fract_y
_atom_site_fract_z
Ca1 0.0000 0.0000 0.0000
Cu1 0.5000 0.5000 0.0000
Tc1 0.0000 0.5000 0.5000
Tc2 0.5000 0.0000 0.5000